A geometry-optimized Ta2MnO6 structure, computed with PBE+U.

Values from the calculation:
Its crystal system is monoclinic. Its total energy is -9.39 eV per atom.

a b c (Å): 9.6418 11.6680 15.5395
angles (deg): 90.00 91.05 90.00
Last column: nearest neighbours and their distance in Å.
Space group C2/c (No. 15)
Inequivalent atoms, fractional coordinates:
Ta  0.0007  0.1637  0.4154  6 O 1.95-2.10
Ta  0.2468  0.4127  0.4136  5 O 1.91-2.09
Ta  0.2468  0.4191  0.7520  4 O 1.85-2.07
Ta  0.2482  0.4083  0.0831  3 O 1.86-1.95
Mn  0.0000  0.1709  0.7500  6 O 2.15-2.23
Mn  0.0000  0.3389  0.2500  6 O 2.16-2.32
Mn  0.0051  0.3385  0.5846  6 O 2.15-2.35
O  0.1119  0.1815  0.1924  2 Ta 1.98-1.99
O  0.1141  0.3027  0.0384  2 Ta 1.91-2.10
O  0.1169  0.1804  0.5221  2 Ta 1.96-1.99
O  0.1177  0.3019  0.3697  2 Ta 1.91-2.10
O  0.1188  0.1894  0.8700  1 Ta 1.86
O  0.1283  0.3145  0.6998  1 Ta 1.85
O  0.1294  0.0591  0.3604  2 Ta 1.95-2.15
O  0.1319  0.0640  0.0279  2 Ta 1.95-2.12
O  0.1414  0.4506  0.8554  2 Ta 1.95-2.09, 1 Mn 2.15
O  0.1426  0.0581  0.6872  2 Ta 1.94-2.15, 1 Mn 2.15
O  0.1501  0.4533  0.5197  2 Ta 1.97-2.11, 1 Mn 2.19
O  0.1510  0.4462  0.1884  2 Ta 1.95-2.07, 1 Mn 2.16